The following is a DFT calculation (SCAN) of a PBEsol-optimized structure of Ba2P.

Cell lengths 7.6021, 7.6021, 7.6021 Å; angles 90.00, 90.00, 90.00 degrees
Space group Fm-3m (No. 225)
Inequivalent atoms, fractional coordinates:
Ba 0.2500 0.2500 0.2500 (multiplicity 8)
P 0.0000 0.0000 0.0000 (multiplicity 4)

Properties
total DFT energy (no corrections)	-30.79	eV/atom
energy of formation	-0.954	eV/atom
N(E_F)	7.48	states/eV/cell


The following is a DFT calculation (SCAN) of a PBEsol-optimized structure of K2RbTe2.

Cell lengths 10.0316, 10.0316, 3.7713 Å; angles 90.00, 90.00, 90.00 degrees
Space group P4/mbm (No. 127)
Inequivalent atoms, fractional coordinates:
K 0.1233 0.3767 0.0000 (multiplicity 4)
Rb 0.0000 0.0000 0.5000 (multiplicity 2)
Te 0.1731 0.6731 0.5000 (multiplicity 4)

Properties
total DFT energy (no corrections)	-23.39	eV/atom
N(E_F)	2.10	states/eV/cell
uncorrected formation energy	-23.2	kcal/mol of atoms


The following is a DFT calculation (SCAN) of a PBEsol-optimized structure of ZrGeSbI2.

Cell lengths 5.3258, 5.3258, 5.4177 Å; angles 90.00, 90.00, 90.00 degrees
Space group P4/mmm (No. 123)
Inequivalent atoms, fractional coordinates:
Zr 0.0000 0.0000 0.0000 (multiplicity 1)
Ge 0.5000 0.5000 0.5000 (multiplicity 1)
Sb 0.5000 0.5000 0.0000 (multiplicity 1)
I 0.0000 0.5000 0.5000 (multiplicity 2)

Properties
total DFT energy (no corrections)	-31.45	eV/atom
N(E_F)	3.06	states/eV/cell
ΔE to the lowest computed polymorph	354.6	meV per atom
uncorrected formation energy	15.1	kcal/mol of atoms


The following is a DFT calculation (SCAN) of a PBEsol-optimized structure of Ca2IrI.

Cell lengths 7.6470, 7.6470, 8.1206 Å; angles 90.00, 90.00, 90.00 degrees
Space group I-42d (No. 122)
Inequivalent atoms, fractional coordinates:
Ca 0.1975 0.7500 0.1250 (multiplicity 8)
Ir 0.0000 0.0000 0.0000 (multiplicity 4)
I 0.0000 0.0000 0.5000 (multiplicity 4)

Properties
total DFT energy (no corrections)	-32.21	eV/atom
uncorrected formation energy	-9.6	kcal/mol of atoms


The following is a DFT calculation (SCAN) of a PBEsol-optimized structure of GaGe3Bi.

Cell lengths 5.4121, 5.4121, 5.4121 Å; angles 90.00, 90.00, 90.00 degrees
Space group Pm-3m (No. 221)
Inequivalent atoms, fractional coordinates:
Ga 0.0000 0.0000 0.0000 (multiplicity 1)
Ge 0.0000 0.5000 0.5000 (multiplicity 3)
Bi 0.5000 0.5000 0.5000 (multiplicity 1)

Properties
total DFT energy (no corrections)	-29.21	eV/atom
energy of formation	1.226	eV/atom
N(E_F)	4.37	states/eV/cell


The following is a DFT calculation (SCAN) of a PBEsol-optimized structure of YMg2Zn.

Cell lengths 3.3969, 3.3969, 7.6151 Å; angles 90.00, 90.00, 90.00 degrees
Space group P4mm (No. 99)
Inequivalent atoms, fractional coordinates:
Y 0.0000 0.0000 0.0000 (multiplicity 1)
Mg 0.0000 0.0000 0.4405 (multiplicity 1)
Mg 0.5000 0.5000 0.6965 (multiplicity 1)
Zn 0.5000 0.5000 0.2429 (multiplicity 1)

Properties
total DFT energy (no corrections)	-13.02	eV/atom
energy of formation	-0.191	eV/atom
N(E_F)	2.50	states/eV/cell


Question: Among the records above, which one has the lowest total DFT energy (no corrections)?
Answer: Ca2IrI